## A
# SrCoTe2I

A geometry-optimized SrCoTe2I structure (GGA-PBE, Alexandria via LeMat-Bulk).

abc: 6.234 6.234 6.179
angles: 90.00 90.00 90.00
Positions (direct):
Te (0.000, 0.500, 0.000)
Te (0.500, 0.000, 0.000)
Co (0.500, 0.500, 0.500)
I (0.000, 0.000, 0.500)
Sr (0.000, 0.000, 0.000)

Properties
The calculation puts the theoretical density at 3.7 g/cm3.


## B
# SrCoTe2I

A geometry-optimized SrCoTe2I structure (GGA-PBE, Alexandria via LeMat-Bulk).

abc: 5.150 5.150 5.634
angles: 90.00 90.00 90.00
Positions (direct):
Te (0.000, 0.500, 0.000)
Te (0.500, 0.000, 0.000)
I (0.000, 0.000, 0.500)
Co (0.000, 0.000, 0.000)
Sr (0.500, 0.500, 0.500)

Properties
The calculation puts the theoretical density at 5.9 g/cm3.


Most stable of them? B.


## A
# TaCoI2

A geometry-optimized TaCoI2 structure (GGA-PBE, Alexandria via LeMat-Bulk).

abc: 6.180 6.180 7.062
angles: 64.05 64.05 90.00
Positions (direct):
I (0.875, 0.839, 0.750)
I (0.375, 0.411, 0.750)
I (0.589, 0.125, 0.250)
I (0.161, 0.625, 0.250)
Ta (0.000, 0.000, 0.000)
Ta (0.750, 0.250, 0.500)
Co (0.250, 0.750, 0.500)
Co (0.500, 0.500, 0.000)

Properties
The calculation puts the theoretical density at 7.7 g/cm3.


## B
# TaCoI2

A geometry-optimized TaCoI2 structure (GGA-PBE, Alexandria via LeMat-Bulk).

abc: 4.830 4.830 4.830
angles: 60.00 60.00 60.00
Positions (direct):
Ta (0.500, 0.500, 0.500)
I (0.250, 0.250, 0.250)
I (0.750, 0.750, 0.750)
Co (0.000, 0.000, 0.000)

Properties
The calculation puts the theoretical density at 10.3 g/cm3.


Most stable of them? B.


## A
# Ta2CoI

A geometry-optimized Ta2CoI structure (GGA-PBE, Alexandria via LeMat-Bulk).

abc: 5.681 5.681 7.321
angles: 67.17 67.17 90.00
Positions (direct):
Ta (0.208, 0.625, 0.250)
Ta (0.542, 0.125, 0.250)
Ta (0.875, 0.792, 0.750)
Ta (0.375, 0.458, 0.750)
Co (0.250, 0.750, 0.500)
Co (0.500, 0.500, 0.000)
I (0.750, 0.250, 0.500)
I (0.000, 0.000, 0.000)

Properties
The calculation puts the theoretical density at 9.2 g/cm3.


## B
# Ta2CoI

A geometry-optimized Ta2CoI structure (GGA-PBE, Alexandria via LeMat-Bulk).

abc: 4.608 4.608 4.608
angles: 60.00 60.00 60.00
Positions (direct):
I (0.500, 0.500, 0.500)
Ta (0.750, 0.750, 0.750)
Ta (0.250, 0.250, 0.250)
Co (0.000, 0.000, 0.000)

Properties
The calculation puts the theoretical density at 13.2 g/cm3.


Most stable of them? B.


## A
# Tb4Co2I5

A geometry-optimized Tb4Co2I5 structure (GGA-PBE, Alexandria via LeMat-Bulk).

abc: 4.079 8.555 11.442
angles: 95.81 100.27 90.00
Positions (direct):
I (0.500, 0.000, 0.000)
I (0.193, 0.327, 0.386)
I (0.807, 0.673, 0.614)
I (0.839, 0.153, 0.678)
I (0.161, 0.847, 0.322)
Co (0.452, 0.497, 0.904)
Co (0.548, 0.503, 0.096)
Tb (0.975, 0.300, 0.951)
Tb (0.656, 0.572, 0.312)
Tb (0.025, 0.700, 0.049)
Tb (0.344, 0.428, 0.688)

Properties
The calculation puts the theoretical density at 5.9 g/cm3.


## B
# Tb4Co2I5

A geometry-optimized Tb4Co2I5 structure (GGA-PBE, Alexandria via LeMat-Bulk).

abc: 4.106 8.647 11.257
angles: 112.59 100.51 90.00
Positions (direct):
I (0.164, 0.392, 0.329)
I (0.836, 0.608, 0.671)
I (0.500, 0.000, 0.000)
I (0.836, 0.064, 0.671)
I (0.164, 0.936, 0.329)
Tb (0.667, 0.667, 0.334)
Tb (0.000, 0.303, 0.000)
Tb (0.000, 0.697, 0.000)
Tb (0.333, 0.333, 0.666)
Co (0.448, 0.448, 0.896)
Co (0.552, 0.552, 0.104)

Properties
The calculation puts the theoretical density at 6.4 g/cm3.


Most stable of them? A.